(1)
DFT (PBE) results for a relaxed Tb2AlZnIr2 crystal.

abc: 8.2181 8.2181 8.2181
angles: 139.13 59.32 138.94
Closest atoms and distances in Å follow each position.
Atoms (fractional coordinates):
1 Tb 0.1722 0.2354 0.4076  5 Ir 2.95-3.03, 2 Zn 3.15, 2 Al 3.23
2 Tb 0.3278 0.7354 0.0632  5 Ir 2.95-3.03, 2 Zn 3.15, 2 Al 3.23
3 Tb 0.6722 0.2646 0.9368  5 Ir 2.95-3.03, 2 Zn 3.15, 2 Al 3.23
4 Tb 0.8278 0.7646 0.5924  5 Ir 2.95-3.03, 2 Zn 3.15, 2 Al 3.23
5 Al 0.2500 0.7500 0.5000  4 Ir 2.56, 2 Zn 2.87
6 Al 0.7500 0.2500 0.5000  4 Ir 2.56, 2 Zn 2.87
7 Zn 0.2500 0.2500 0.0000  4 Ir 2.68, 2 Al 2.87, 2 Zn 2.88
8 Zn 0.7500 0.7500 0.0000  4 Ir 2.68, 2 Al 2.87, 2 Zn 2.88
9 Ir 0.1159 0.7308 0.8467  2 Al 2.56, 2 Zn 2.68
10 Ir 0.3841 0.2308 0.6150  2 Al 2.56, 2 Zn 2.68
11 Ir 0.6159 0.7692 0.3850  2 Al 2.56, 2 Zn 2.68
12 Ir 0.8841 0.2692 0.1533  2 Al 2.56, 2 Zn 2.68

Summary:
- E_form (meV/atom) = -771.0

(2)
DFT (PBE) results for a relaxed LiBeTe2 crystal.

abc: 8.5341 8.5341 8.5341
angles: 25.32 25.32 25.32
Closest atoms and distances in Å follow each position.
Atoms (fractional coordinates):
1 Li 0.0000 0.0000 0.0000  2 Te 2.62
2 Be 0.5000 0.5000 0.5000  6 Te 2.63
3 Te 0.1059 0.1059 0.1059  1 Li 2.62, 3 Be 2.63
4 Te 0.8941 0.8941 0.8941  1 Li 2.62, 3 Be 2.63

Summary:
- formation energy from raw total energies (eV per formula unit) = -0.67

(3)
DFT (PBE) results for a relaxed MnZn2AuS crystal.

abc: 4.6203 4.6203 5.0094
angles: 90.00 90.00 90.00
Closest atoms and distances in Å follow each position.
Atoms (fractional coordinates):
1 Mn 0.0000 0.0000 0.0000  4 Au 3.27, 8 Zn 3.41
2 Zn 0.0000 0.5000 0.5000  2 S 2.31
3 Zn 0.5000 0.0000 0.5000  2 S 2.31
4 Au 0.5000 0.5000 0.0000  2 S 2.50
5 S 0.5000 0.5000 0.5000  4 Zn 2.31, 2 Au 2.50

Summary:
- formation energy from raw total energies (eV per formula unit) = 3.27

(4)
DFT (PBE) results for a relaxed HRhNF2 crystal.

abc: 2.9430 2.9430 5.6311
angles: 90.00 90.00 90.00
Closest atoms and distances in Å follow each position.
Atoms (fractional coordinates):
1 H 0.0000 0.0000 0.0000  4 F 1.47
2 Rh 0.5000 0.5000 0.5000  4 N 2.08
3 N 0.0000 0.0000 0.5000  4 Rh 2.08
4 F 0.0000 0.5000 0.0000  2 H 1.47
5 F 0.5000 0.0000 0.0000  2 H 1.47

Summary:
- ΔE to the lowest computed polymorph (meV/atom) = 99

(5)
DFT (PBE) results for a relaxed Rb3LaPm2O6 crystal.

abc: 6.3657 6.3657 6.9318
angles: 98.80 98.80 120.01
Closest atoms and distances in Å follow each position.
Atoms (fractional coordinates):
1 Rb 0.0000 0.0000 0.0000  6 O 2.97-3.01
2 Rb 0.3327 0.6673 0.0000  6 O 2.96-3.01
3 Rb 0.6673 0.3327 0.0000  6 O 2.96-3.01
4 La 0.5000 0.5000 0.5000  6 O 2.46-2.47
5 Pm 0.1667 0.8333 0.5000  6 O 2.42
6 Pm 0.8333 0.1667 0.5000  6 O 2.42
7 O 0.1007 0.4401 0.3200  2 Pm 2.42, 1 La 2.47
8 O 0.2207 0.2207 0.6799  2 Pm 2.42, 1 La 2.46
9 O 0.4401 0.1007 0.3200  2 Pm 2.42, 1 La 2.47
10 O 0.5599 0.8993 0.6800  2 Pm 2.42, 1 La 2.47
11 O 0.7793 0.7793 0.3201  2 Pm 2.42, 1 La 2.46
12 O 0.8993 0.5599 0.6800  2 Pm 2.42, 1 La 2.47

Summary:
- formation energy from raw total energies (eV per formula unit) = -31.17

(6)
DFT (PBE) results for a relaxed CeTl2S2Br2 crystal.

abc: 9.2366 9.2366 9.2366
angles: 146.33 146.33 48.36
Closest atoms and distances in Å follow each position.
Atoms (fractional coordinates):
1 Ce 0.0000 0.0000 0.0000  4 S 2.68, 2 Br 2.86
2 Tl 0.3766 0.3766 0.0000  4 S 3.39, 1 Br 3.49
3 Tl 0.6234 0.6234 0.0000  4 S 3.39, 1 Br 3.49
4 S 0.0000 0.5000 0.5000  2 Ce 2.68
5 S 0.5000 0.0000 0.5000  2 Ce 2.68
6 Br 0.1695 0.1695 0.0000  1 Ce 2.86
7 Br 0.8305 0.8305 0.0000  1 Ce 2.86

Summary:
- formation energy from raw total energies (eV per formula unit) = -8.28

(7)
DFT (PBE) results for a relaxed Zn2CuSe crystal.

abc: 4.7445 4.7445 4.1801
angles: 90.00 90.00 126.09
Closest atoms and distances in Å follow each position.
Atoms (fractional coordinates):
1 Zn 0.1839 0.8161 0.0000  2 Zn 2.42, 2 Se 2.61, 3 Cu 2.65-2.67
2 Zn 0.8161 0.1839 0.0000  2 Zn 2.42, 2 Se 2.61, 3 Cu 2.65-2.67
3 Cu 0.5000 0.5000 0.0000  6 Zn 2.65-2.67
4 Se 0.0000 0.0000 0.5000  4 Zn 2.61

Summary:
- formation energy from raw total energies (eV per formula unit) = 0.05

(8)
DFT (PBE) results for a relaxed SrLa3Al8 crystal.

abc: 10.0139 10.0139 10.0139
angles: 33.46 33.46 33.46
Closest atoms and distances in Å follow each position.
Atoms (fractional coordinates):
1 Sr 0.0000 0.0000 0.0000  12 Al 3.38-3.41, 4 La 3.52
2 La 0.3740 0.3740 0.3740  12 Al 3.38-3.41, 3 Sr 3.52, 1 La 3.56
3 La 0.4998 0.4998 0.4998  12 Al 3.36-3.38, 4 La 3.54-3.56
4 La 0.8756 0.8756 0.8756  12 Al 3.36-3.38, 1 Sr 3.52, 3 La 3.54
5 Al 0.1875 0.1875 0.1875  6 Al 2.86-2.88
6 Al 0.4367 0.4367 0.9352  6 Al 2.86-2.91
7 Al 0.4367 0.9352 0.4367  6 Al 2.86-2.91
8 Al 0.4399 0.9373 0.9373  6 Al 2.87-2.90
9 Al 0.6873 0.6873 0.6873  6 Al 2.90-2.91
10 Al 0.9352 0.4367 0.4367  6 Al 2.86-2.91
11 Al 0.9373 0.4399 0.9373  6 Al 2.87-2.90
12 Al 0.9373 0.9373 0.4399  6 Al 2.87-2.90

Summary:
- E_form (meV/atom) = -436.8
- ΔE to the lowest computed polymorph (meV/atom) = 0

(9)
DFT (PBE) results for a relaxed Zn3Ag crystal.

abc: 4.8159 4.8159 4.8159
angles: 130.96 130.96 71.88
Closest atoms and distances in Å follow each position.
Atoms (fractional coordinates):
1 Zn 0.0000 0.0000 0.0000  8 Zn 2.79, 4 Ag 2.83
2 Zn 0.2500 0.7500 0.5000  8 Zn 2.79-2.83, 4 Ag 2.79
3 Zn 0.7500 0.2500 0.5000  8 Zn 2.79-2.83, 4 Ag 2.79
4 Ag 0.5000 0.5000 0.0000  12 Zn 2.79-2.83

Summary:
- E_form (meV/atom) = -0.2

(10)
DFT (PBE) results for a relaxed ReNi2Te crystal.

abc: 4.7372 4.7372 4.7372
angles: 131.59 131.59 70.88
Closest atoms and distances in Å follow each position.
Atoms (fractional coordinates):
1 Re 0.0000 0.0000 0.0000  8 Ni 2.74, 4 Te 2.75
2 Ni 0.2500 0.7500 0.5000  4 Re 2.74, 4 Te 2.74, 4 Ni 2.75
3 Ni 0.7500 0.2500 0.5000  4 Re 2.74, 4 Te 2.74, 4 Ni 2.75
4 Te 0.5000 0.5000 0.0000  8 Ni 2.74, 4 Re 2.75

Summary:
- formation energy from raw total energies (eV per formula unit) = 2.27

(11)
DFT (PBE) results for a relaxed BaGaHg2Se4 crystal.

abc: 6.7518 6.7447 7.5386
angles: 56.09 56.00 67.91
Closest atoms and distances in Å follow each position.
Atoms (fractional coordinates):
1 Ba 0.0000 0.0000 0.0000  8 Se 3.44-3.57
2 Ga 0.5012 0.5012 0.4988  4 Se 2.45-2.46
3 Hg 0.2578 0.2578 0.2422  4 Se 2.81-2.84
4 Hg 0.7578 0.7578 0.7422  4 Se 2.81-2.84
5 Se 0.1436 0.5272 0.8564  1 Ga 2.46
6 Se 0.4742 0.8567 0.1433  1 Ga 2.45
7 Se 0.5272 0.1436 0.4728  1 Ga 2.46
8 Se 0.8567 0.4742 0.5258  1 Ga 2.45

Summary:
- formation energy from raw total energies (eV per formula unit) = -5.97

(12)
DFT (PBE) results for a relaxed ZrAs2Rh3 crystal.

abc: 8.4438 8.4438 9.7774
angles: 107.02 107.02 26.46
Closest atoms and distances in Å follow each position.
Atoms (fractional coordinates):
1 Zr 0.0000 0.0000 0.0000  6 Rh 2.86-3.07, 6 As 3.07-3.11
2 Zr 0.1420 0.1420 0.6717  4 As 2.89-2.92, 5 Rh 2.96-3.12
3 Zr 0.8580 0.8580 0.3283  4 As 2.89-2.92, 5 Rh 2.96-3.12
4 As 0.1949 0.1949 0.1281  6 Rh 2.41-2.55
5 As 0.3613 0.3613 0.5498  7 Rh 2.37-2.59
6 As 0.4552 0.4552 0.2161  3 Rh 2.34-2.43
7 As 0.5448 0.5448 0.7839  3 Rh 2.34-2.43
8 As 0.6387 0.6387 0.4502  7 Rh 2.37-2.59
9 As 0.8051 0.8051 0.8719  6 Rh 2.41-2.55
10 Rh 0.0381 0.0381 0.3275  4 As 2.43-2.59
11 Rh 0.2221 0.2221 0.3842  4 As 2.37-2.56
12 Rh 0.3199 0.3199 0.0473  4 As 2.34-2.55
13 Rh 0.3919 0.3919 0.8170  4 As 2.51-2.63
14 Rh 0.5000 0.5000 0.5000  4 As 2.47-2.65, 4 Rh 2.76
15 Rh 0.6081 0.6081 0.1830  4 As 2.51-2.63
16 Rh 0.6801 0.6801 0.9527  4 As 2.34-2.55
17 Rh 0.7779 0.7779 0.6158  4 As 2.37-2.56
18 Rh 0.9619 0.9619 0.6725  4 As 2.43-2.59

Summary:
- E_form (meV/atom) = -667.1

(13)
DFT (PBE) results for a relaxed Zr2AgSe crystal.

abc: 5.0708 5.0708 5.0708
angles: 132.26 120.49 79.63
Closest atoms and distances in Å follow each position.
Atoms (fractional coordinates):
1 Zr 0.2335 0.2335 0.0000  2 Se 2.74, 2 Ag 2.92
2 Zr 0.7665 0.7665 0.0000  2 Se 2.74, 2 Ag 2.92
3 Ag 0.5000 0.0000 0.5000  8 Zr 2.92-3.11, 4 Se 3.25
4 Se 0.0000 0.5000 0.5000  4 Zr 2.74

Summary:
- formation energy from raw total energies (eV per formula unit) = -1.57

(14)
DFT (PBE) results for a relaxed Pu3Ge3Pd2 crystal.

abc: 8.0315 14.5280 5.8001
angles: 90.00 90.00 90.00
Closest atoms and distances in Å follow each position.
Atoms (fractional coordinates):
1 Pu 0.0344 0.1064 0.1192  7 Ge 3.07-3.43, 3 Pd 3.10-3.23, 1 Pu 3.43
2 Pu 0.0344 0.3936 0.1192  7 Ge 3.07-3.43, 3 Pd 3.10-3.23, 1 Pu 3.43
3 Pu 0.1757 0.2500 0.6152  5 Ge 3.01-3.21, 4 Pd 3.06-3.15
4 Pu 0.3243 0.7500 0.1152  5 Ge 3.01-3.21, 4 Pd 3.06-3.15
5 Pu 0.4656 0.6064 0.6192  7 Ge 3.07-3.43, 3 Pd 3.10-3.23, 1 Pu 3.43
6 Pu 0.4656 0.8936 0.6192  7 Ge 3.07-3.43, 3 Pd 3.10-3.23, 1 Pu 3.43
7 Pu 0.5344 0.1064 0.3808  7 Ge 3.07-3.43, 3 Pd 3.10-3.23, 1 Pu 3.43
8 Pu 0.5344 0.3936 0.3808  7 Ge 3.07-3.43, 3 Pd 3.10-3.23, 1 Pu 3.43
9 Pu 0.6757 0.2500 0.8848  5 Ge 3.01-3.21, 4 Pd 3.06-3.15
10 Pu 0.8243 0.7500 0.3848  5 Ge 3.01-3.21, 4 Pd 3.06-3.15
11 Pu 0.9656 0.6064 0.8808  7 Ge 3.07-3.43, 3 Pd 3.10-3.23, 1 Pu 3.43
12 Pu 0.9656 0.8936 0.8808  7 Ge 3.07-3.43, 3 Pd 3.10-3.23, 1 Pu 3.43
13 Ge 0.1846 0.7500 0.6246  2 Pd 2.61
14 Ge 0.1927 0.0432 0.5924  3 Pd 2.52-2.60
15 Ge 0.1927 0.4568 0.5924  3 Pd 2.52-2.60
16 Ge 0.3073 0.5432 0.0924  3 Pd 2.52-2.60
17 Ge 0.3073 0.9568 0.0924  3 Pd 2.52-2.60
18 Ge 0.3154 0.2500 0.1246  2 Pd 2.61
19 Ge 0.6846 0.7500 0.8754  2 Pd 2.61
20 Ge 0.6927 0.0432 0.9076  3 Pd 2.52-2.60
21 Ge 0.6927 0.4568 0.9076  3 Pd 2.52-2.60
22 Ge 0.8073 0.5432 0.4076  3 Pd 2.52-2.60
23 Ge 0.8073 0.9568 0.4076  3 Pd 2.52-2.60
24 Ge 0.8154 0.2500 0.3754  2 Pd 2.61
25 Pd 0.1021 0.6063 0.3806  4 Ge 2.52-2.61
26 Pd 0.1021 0.8937 0.3806  4 Ge 2.52-2.61
27 Pd 0.3979 0.1063 0.8806  4 Ge 2.52-2.61
28 Pd 0.3979 0.3937 0.8806  4 Ge 2.52-2.61
29 Pd 0.6021 0.6063 0.1194  4 Ge 2.52-2.61
30 Pd 0.6021 0.8937 0.1194  4 Ge 2.52-2.61
31 Pd 0.8979 0.1063 0.6194  4 Ge 2.52-2.61
32 Pd 0.8979 0.3937 0.6194  4 Ge 2.52-2.61

Summary:
- E_form (meV/atom) = -533.6

(15)
DFT (PBE) results for a relaxed V2CrAg crystal.

abc: 4.3080 4.3080 4.3080
angles: 60.00 60.00 60.00
Closest atoms and distances in Å follow each position.
Atoms (fractional coordinates):
1 V 0.2500 0.2500 0.2500  4 Cr 2.64, 4 Ag 2.64
2 V 0.7500 0.7500 0.7500  4 Cr 2.64, 4 Ag 2.64
3 Cr 0.0000 0.0000 0.0000  8 V 2.64
4 Ag 0.5000 0.5000 0.5000  8 V 2.64

Summary:
- E_form (meV/atom) = 433.8
- ΔE to the lowest computed polymorph (meV/atom) = 0

(16)
DFT (PBE) results for a relaxed CsTe3Pd2 crystal.

abc: 8.7409 8.7409 8.7409
angles: 55.05 55.05 55.05
Closest atoms and distances in Å follow each position.
Atoms (fractional coordinates):
1 Cs 0.2050 0.2050 0.2050  3 Pd 3.68, 3 Te 4.03
2 Cs 0.7950 0.7950 0.7950  3 Pd 3.68, 3 Te 4.03
3 Te 0.2303 0.2303 0.7159  3 Pd 2.64-2.73
4 Te 0.2303 0.7159 0.2303  3 Pd 2.64-2.73
5 Te 0.2841 0.7697 0.7697  3 Pd 2.64-2.73
6 Te 0.7159 0.2303 0.2303  3 Pd 2.64-2.73
7 Te 0.7697 0.2841 0.7697  3 Pd 2.64-2.73
8 Te 0.7697 0.7697 0.2841  3 Pd 2.64-2.73
9 Pd 0.0000 0.0000 0.0000  6 Te 2.73
10 Pd 0.0000 0.5000 0.5000  4 Te 2.64
11 Pd 0.5000 0.0000 0.5000  4 Te 2.64
12 Pd 0.5000 0.5000 0.0000  4 Te 2.64

Summary:
- formation energy from raw total energies (eV per formula unit) = -3.50

(17)
DFT (PBE) results for a relaxed BeRhF2 crystal.

abc: 3.9842 3.9842 3.9842
angles: 60.00 60.00 60.00
Closest atoms and distances in Å follow each position.
Atoms (fractional coordinates):
1 Be 0.0000 0.0000 0.0000  8 F 2.44
2 Rh 0.5000 0.5000 0.5000  8 F 2.44
3 F 0.2500 0.2500 0.2500  4 Be 2.44, 4 Rh 2.44
4 F 0.7500 0.7500 0.7500  4 Be 2.44, 4 Rh 2.44

Summary:
- ΔE to the lowest computed polymorph (meV/atom) = 1470
- formation energy from raw total energies (eV per formula unit) = -1.29

(18)
DFT (PBE) results for a relaxed MnSi2Tc crystal.

abc: 2.6840 2.6840 7.4251
angles: 90.00 90.00 90.00
Closest atoms and distances in Å follow each position.
Atoms (fractional coordinates):
1 Mn 0.0000 0.0000 0.0000  4 Si 2.45, 4 Tc 2.51, 4 Mn 2.68
2 Si 0.0000 0.0000 0.5267  4 Tc 2.66, 4 Si 2.68
3 Si 0.5000 0.5000 0.2097  4 Mn 2.45, 4 Si 2.68
4 Tc 0.5000 0.5000 0.7783  4 Mn 2.51, 4 Si 2.66, 4 Tc 2.68

Summary:
- ΔE to the lowest computed polymorph (meV/atom) = 380
- formation energy from raw total energies (eV per formula unit) = 0.06

(19)
DFT (PBE) results for a relaxed Dy6Te3P2S crystal.

abc: 9.4158 9.4158 8.4679
angles: 105.68 105.68 25.15
Closest atoms and distances in Å follow each position.
Atoms (fractional coordinates):
1 Dy 0.0104 0.0104 0.2278  1 P 2.76, 2 S 2.78
2 Dy 0.3239 0.3239 0.4400  3 P 2.78-2.79
3 Dy 0.3411 0.3411 0.8918  2 P 2.77, 1 S 2.81
4 Dy 0.6589 0.6589 0.1082  2 P 2.77, 1 S 2.81
5 Dy 0.6761 0.6761 0.5600  3 P 2.78-2.79
6 Dy 0.9896 0.9896 0.7722  1 P 2.76, 2 S 2.78
7 Te 0.1657 0.1657 0.8333  6 Dy 3.12-3.14
8 Te 0.5000 0.5000 0.5000  6 Dy 3.13
9 Te 0.8343 0.8343 0.1667  6 Dy 3.12-3.14
10 P 0.1664 0.1664 0.3323  6 Dy 2.76-2.79
11 P 0.8336 0.8336 0.6677  6 Dy 2.76-2.79
12 S 0.5000 0.5000 0.0000  6 Dy 2.78-2.81

Summary:
- formation energy from raw total energies (eV per formula unit) = -19.15

(20)
DFT (PBE) results for a relaxed Li5CuAg8 crystal.

abc: 6.7537 6.7537 6.7537
angles: 109.73 109.73 108.96
Closest atoms and distances in Å follow each position.
Atoms (fractional coordinates):
1 Li 0.0000 0.0000 0.0000  8 Ag 2.52-2.73
2 Li 0.1923 0.5323 0.9015  8 Ag 2.65-2.82
3 Li 0.4677 0.3692 0.6600  8 Ag 2.65-2.82
4 Li 0.6308 0.2908 0.0985  8 Ag 2.65-2.82
5 Li 0.7092 0.8077 0.3400  8 Ag 2.65-2.82
6 Cu 0.2500 0.7500 0.5000  4 Ag 2.59
7 Ag 0.1676 0.0768 0.7350  5 Li 2.52-2.82, 1 Cu 2.59
8 Ag 0.3418 0.4326 0.2650  5 Li 2.52-2.82, 1 Cu 2.59
9 Ag 0.4205 0.0183 0.2623  5 Li 2.71-2.80, 4 Ag 2.83-3.01, 1 Cu 3.01
10 Ag 0.5674 0.8324 0.9092  5 Li 2.52-2.82, 1 Cu 2.59
11 Ag 0.7560 0.1582 0.7377  5 Li 2.71-2.80, 4 Ag 2.83-3.01, 1 Cu 3.01
12 Ag 0.8418 0.5795 0.5978  5 Li 2.71-2.80, 4 Ag 2.83-3.01, 1 Cu 3.01
13 Ag 0.9232 0.6582 0.0908  5 Li 2.52-2.82, 1 Cu 2.59
14 Ag 0.9817 0.2440 0.4022  5 Li 2.71-2.80, 4 Ag 2.83-3.01, 1 Cu 3.01

Summary:
- E_form (meV/atom) = -33.4